[1]
Below is a geometry-optimized LiPrU2S4 structure, with properties calculated at the GGA-PBE level.

```
data_LiPrU2S4
_space_group_name_H-M_alt 'P 1 2/m 1'
_space_group_IT_number 10
_cell_length_a 6.720
_cell_length_b 3.878
_cell_length_c 6.987
_cell_angle_alpha 90.00
_cell_angle_beta 108.71
_cell_angle_gamma 90.00
loop_
_space_group_symop_operation_xyz
'x,y,z'
'-x,-y,-z'
'-x,y,-z'
'x,-y,z'
loop_
_atom_site_label
_atom_site_fract_x
_atom_site_fract_y
_atom_site_fract_z
_atom_site_occupancy
Li1 0.000 0.000 0.000 1
Pr1 0.500 0.500 0.000 1
U1 0.000 0.500 0.500 1
U2 0.500 0.000 0.500 1
S1 0.236 0.000 0.744 1
S2 0.239 0.500 0.250 1
```

## Properties
Density = 7.24 g cm⁻³
Uncorrected formation energy = -1.505 eV/atom

[2]
Below is a geometry-optimized DyEr2Tm structure, with properties calculated at the GGA-PBE level.

```
data_DyEr2Tm
_space_group_name_H-M_alt 'P 4/m m m'
_space_group_IT_number 123
_space_group_name_Hall '-P 4 2'
_cell_length_a 4.954
_cell_length_b 4.954
_cell_length_c 4.955
_cell_angle_alpha 90.00
_cell_angle_beta 90.00
_cell_angle_gamma 90.00
loop_
_atom_site_label
_atom_site_fract_x
_atom_site_fract_y
_atom_site_fract_z
_atom_site_occupancy
Dy1 0.000 0.000 0.000 1
Er1 0.000 0.500 0.500 1
Tm1 0.500 0.500 0.000 1
```

## Properties
Density = 9.09 g cm⁻³
ΔE to the lowest computed polymorph = 16.4 meV/atom
DFT formation energy = 0.024 eV/atom

[3]
Below is a geometry-optimized TiNb2NiB structure, with properties calculated at the GGA-PBE level.

```
data_TiNb2NiB
_space_group_name_H-M_alt 'P 4/m m m'
_space_group_IT_number 123
_space_group_name_Hall '-P 4 2'
_cell_length_a 4.322
_cell_length_b 4.322
_cell_length_c 4.171
_cell_angle_alpha 90.00
_cell_angle_beta 90.00
_cell_angle_gamma 90.00
loop_
_atom_site_label
_atom_site_fract_x
_atom_site_fract_y
_atom_site_fract_z
_atom_site_occupancy
Ti1 0.000 0.000 0.000 1
Nb1 0.000 0.500 0.500 1
Ni1 0.500 0.500 0.000 1
B1 0.000 0.000 0.500 1
```

## Properties
Density = 6.46 g cm⁻³
DFT formation energy = 0.070 eV/atom

[4]
Below is a geometry-optimized Na2CdHgBi structure, with properties calculated at the GGA-PBE level.

```
data_Na2CdHgBi
_space_group_name_H-M_alt 'P 4/m m m'
_space_group_IT_number 123
_space_group_name_Hall '-P 4 2'
_cell_length_a 6.070
_cell_length_b 6.070
_cell_length_c 5.978
_cell_angle_alpha 90.00
_cell_angle_beta 90.00
_cell_angle_gamma 90.00
loop_
_atom_site_label
_atom_site_fract_x
_atom_site_fract_y
_atom_site_fract_z
_atom_site_occupancy
Na1 0.000 0.500 0.000 1
Cd1 0.000 0.000 0.500 1
Hg1 0.500 0.500 0.500 1
Bi1 0.000 0.000 0.000 1
```

## Properties
Density = 4.28 g cm⁻³
DFT formation energy = -0.075 eV/atom

[5]
Below is a geometry-optimized Tl3Cl2 structure, with properties calculated at the GGA-PBE level.

```
data_Tl3Cl2
_space_group_name_H-M_alt 'F d d 2'
_space_group_IT_number 43
_space_group_name_Hall 'F 2 -2d'
_cell_length_a 13.983
_cell_length_b 14.884
_cell_length_c 6.199
_cell_angle_alpha 90.00
_cell_angle_beta 90.00
_cell_angle_gamma 90.00
loop_
_atom_site_label
_atom_site_fract_x
_atom_site_fract_y
_atom_site_fract_z
_atom_site_occupancy
Tl1 0.000 0.000 0.000 1
Tl2 0.075 0.373 0.964 1
Cl1 0.051 0.299 0.456 1
```

## Properties
Density = 7.04 g cm⁻³
Uncorrected formation energy = -0.670 eV/atom

[6]
Below is a geometry-optimized SrSnH2W structure, with properties calculated at the GGA-PBE level.

```
data_SrSnH2W
_space_group_name_H-M_alt 'P 4/m m m'
_space_group_IT_number 123
_space_group_name_Hall '-P 4 2'
_cell_length_a 4.065
_cell_length_b 4.065
_cell_length_c 7.223
_cell_angle_alpha 90.00
_cell_angle_beta 90.00
_cell_angle_gamma 90.00
loop_
_atom_site_label
_atom_site_fract_x
_atom_site_fract_y
_atom_site_fract_z
_atom_site_occupancy
Sr1 0.000 0.000 0.000 1
Sn1 0.000 0.000 0.500 1
H1 0.000 0.500 0.000 1
W1 0.500 0.500 0.500 1
```

## Properties
VASP energy = -20.42 eV per cell
Density = 5.46 g cm⁻³

[7]
Below is a geometry-optimized LiCrPt2 structure, with properties calculated at the GGA-PBE level.

```
data_LiCrPt2
_space_group_name_H-M_alt 'P m m m'
_space_group_IT_number 47
_cell_length_a 2.847
_cell_length_b 3.526
_cell_length_c 5.585
_cell_angle_alpha 90.00
_cell_angle_beta 90.00
_cell_angle_gamma 90.00
loop_
_space_group_symop_operation_xyz
'x,y,z'
'-x,-y,-z'
'-x,-y,z'
'x,y,-z'
'x,-y,-z'
'-x,y,z'
'-x,y,-z'
'x,-y,z'
loop_
_atom_site_label
_atom_site_fract_x
_atom_site_fract_y
_atom_site_fract_z
_atom_site_occupancy
Li1 0.000 0.000 0.000 1
Cr1 0.000 0.000 0.500 1
Pt1 0.500 0.500 0.247 1
```

## Properties
Density = 13.30 g cm⁻³
DFT formation energy = -0.375 eV/atom

[8]
Below is a geometry-optimized ScCu2Ag2 structure, with properties calculated at the GGA-PBE level.

```
data_ScCu2Ag2
_space_group_name_H-M_alt 'I 4/m m m'
_space_group_IT_number 139
_space_group_name_Hall '-I 4 2'
_cell_length_a 3.600
_cell_length_b 3.600
_cell_length_c 13.475
_cell_angle_alpha 90.00
_cell_angle_beta 90.00
_cell_angle_gamma 90.00
loop_
_atom_site_label
_atom_site_fract_x
_atom_site_fract_y
_atom_site_fract_z
_atom_site_occupancy
Sc1 0.000 0.000 0.000 1
Cu1 0.000 0.500 0.250 1
Ag1 0.000 0.000 0.395 1
```

## Properties
Density = 7.38 g cm⁻³
ΔE to the lowest computed polymorph = 55.6 meV/atom
DFT formation energy = 0.042 eV/atom

Which of these has the highest density?
LiCrPt2